# Be2Fe2Sn, optimized geometry, DFT PBE
# Total moment in μB per formula unit: 0.11
# Energy of formation in eV per atom: 0.068
data_Be2Fe2Sn
_chemical_formula_sum 'Be4 Fe4 Sn2'
_symmetry_space_group_name_H-M 'P 4/m b m'
_symmetry_Int_Tables_number 127
_symmetry_space_group_name_Hall '-P 4 2ab'
_cell_length_a 6.169
_cell_length_b 6.169
_cell_length_c 2.881
_cell_angle_alpha 90.00
_cell_angle_beta 90.00
_cell_angle_gamma 90.00
loop_
_atom_site_label
_atom_site_fract_x
_atom_site_fract_y
_atom_site_fract_z
_atom_site_occupancy
Be1 0.117 0.383 0.000 1
Fe1 0.166 0.666 0.500 1
Sn1 0.000 0.000 0.000 1